ErThAlCd | PBE | relaxed

abc: 5.2645 5.2645 5.2645
angles: 60.00 60.00 60.00
Closest atoms and distances in Å follow each position.
Atoms (fractional coordinates):
Cd 0.7500 0.7500 0.7500  4 Er 3.22, 4 Th 3.22
Al 0.2500 0.2500 0.2500  4 Th 3.22, 4 Er 3.22
Th 0.0000 0.0000 0.0000  4 Al 3.22, 4 Cd 3.22
Er 0.5000 0.5000 0.5000  4 Cd 3.22, 4 Al 3.22

Output
Symmetry: F-43m, No. 216
D(E_F) (states/eV per cell): 1.574
Final energy (eV per atom): -4.40
Energy of formation (eV/f.u.): -0.952